1.
The following is a DFT calculation (PBE-GGA) of a geometry-optimized Pr3DySn12 structure.

abc: 4.790 4.790 18.921
angles: 90.00 90.00 90.00
Element x y z (fractional)
Pr 0.000 0.000 0.000
Pr 0.000 0.000 0.252
Pr 0.000 0.000 0.748
Dy 0.000 0.000 0.500
Sn 0.000 0.500 0.127
Sn 0.000 0.500 0.379
Sn 0.000 0.500 0.621
Sn 0.000 0.500 0.873
Sn 0.500 0.000 0.127
Sn 0.500 0.000 0.379
Sn 0.500 0.000 0.621
Sn 0.500 0.000 0.873
Sn 0.500 0.500 0.000
Sn 0.500 0.500 0.253
Sn 0.500 0.500 0.500
Sn 0.500 0.500 0.747

Summary:
Formation energy from the elements: -0.49 eV per atom
Crystal system: tetragonal
Density of states at the Fermi level: 8.99 states/eV per cell

2.
The following is a DFT calculation (PBE-GGA) of a geometry-optimized YGa3Si structure.

abc: 4.820 4.820 4.820
angles: 90.00 90.00 90.00
Element x y z (fractional)
Y 0.000 0.000 0.000
Ga 0.000 0.500 0.500
Ga 0.500 0.000 0.500
Ga 0.500 0.500 0.000
Si 0.500 0.500 0.500

Summary:
Excess energy over the best structure of this formula in the dataset: 2.277 eV/f.u.
Crystal system: cubic
ΔE_f (raw): 115 meV/atom
Density of states at the Fermi level: 2.84 states/eV per cell

3.
The following is a DFT calculation (PBE-GGA) of a geometry-optimized MgGeIr3 structure.

abc: 4.522 4.522 4.522
angles: 90.00 90.00 90.00
Element x y z (fractional)
Mg 0.000 0.000 0.000
Ge 0.500 0.500 0.500
Ir 0.000 0.000 0.500
Ir 0.000 0.500 0.000
Ir 0.500 0.000 0.000

Summary:
Excess energy over the best structure of this formula in the dataset: 4.412 eV/f.u.
Formation energy from the elements: 1.55 eV per atom
Crystal system: cubic
Density of states at the Fermi level: 4.83 states/eV per cell

4.
The following is a DFT calculation (PBE-GGA) of a geometry-optimized CsTmCo2Cl8 structure.

abc: 6.461 6.461 10.183
angles: 95.94 95.94 68.30
Element x y z (fractional)
Cs 0.000 0.000 0.000
Tm 0.000 0.000 0.500
Co 0.385 0.385 0.701
Co 0.615 0.615 0.299
Cl 0.234 0.737 0.311
Cl 0.245 0.245 0.513
Cl 0.263 0.766 0.689
Cl 0.316 0.316 0.894
Cl 0.684 0.684 0.106
Cl 0.737 0.234 0.311
Cl 0.755 0.755 0.487
Cl 0.766 0.263 0.689

Summary:
Crystal system: monoclinic
ΔE_f (raw): -1364 meV/atom

5.
The following is a DFT calculation (PBE-GGA) of a geometry-optimized LaB6Rh12 structure.

abc: 6.512 6.512 6.512
angles: 104.16 104.16 104.16
Element x y z (fractional)
La 0.000 0.000 0.000
B 0.233 0.233 0.666
B 0.233 0.666 0.233
B 0.334 0.767 0.767
B 0.666 0.233 0.233
B 0.767 0.334 0.767
B 0.767 0.767 0.334
Rh 0.134 0.500 0.866
Rh 0.134 0.866 0.500
Rh 0.186 0.451 0.451
Rh 0.451 0.186 0.451
Rh 0.451 0.451 0.186
Rh 0.500 0.134 0.866
Rh 0.500 0.866 0.134
Rh 0.549 0.549 0.814
Rh 0.549 0.814 0.549
Rh 0.814 0.549 0.549
Rh 0.866 0.134 0.500
Rh 0.866 0.500 0.134

Summary:
Formation energy from the elements: -0.40 eV per atom
Crystal system: trigonal
Density of states at the Fermi level: 18.97 states/eV per cell

6.
The following is a DFT calculation (PBE-GGA) of a geometry-optimized MgSc3Tc structure.

abc: 5.051 5.051 5.051
angles: 90.00 90.00 90.00
Element x y z (fractional)
Mg 0.000 0.000 0.000
Sc 0.000 0.500 0.500
Sc 0.500 0.000 0.500
Sc 0.500 0.500 0.000
Tc 0.500 0.500 0.500

Summary:
Excess energy over the best structure of this formula in the dataset: 1.493 eV/f.u.
Formation energy from the elements: 0.14 eV per atom
Crystal system: cubic
Density of states at the Fermi level: 4.24 states/eV per cell

7.
The following is a DFT calculation (PBE-GGA) of a geometry-optimized K2Rb3Sn4 structure.

abc: 6.022 8.182 9.211
angles: 116.17 103.25 90.03
Element x y z (fractional)
K 0.190 0.438 0.383
K 0.810 0.562 0.617
Rb 0.005 0.802 0.106
Rb 0.500 0.000 0.500
Rb 0.995 0.198 0.894
Sn 0.413 0.846 0.835
Sn 0.415 0.489 0.835
Sn 0.585 0.511 0.165
Sn 0.587 0.154 0.165

Summary:
Formation energy from the elements: -0.17 eV per atom
Crystal system: triclinic
Density of states at the Fermi level: 4.93 states/eV per cell

8.
The following is a DFT calculation (PBE-GGA) of a geometry-optimized Tm6InSn structure.

abc: 4.760 4.760 9.513
angles: 90.00 90.00 90.00
Element x y z (fractional)
Tm 0.000 0.000 0.000
Tm 0.000 0.000 0.500
Tm 0.000 0.500 0.248
Tm 0.000 0.500 0.752
Tm 0.500 0.000 0.248
Tm 0.500 0.000 0.752
In 0.500 0.500 0.500
Sn 0.500 0.500 0.000

Summary:
Excess energy over the best structure of this formula in the dataset: 0.000 eV/f.u.
Formation energy from the elements: -0.33 eV per atom
Crystal system: tetragonal
Density of states at the Fermi level: 7.96 states/eV per cell

9.
The following is a DFT calculation (PBE-GGA) of a geometry-optimized CaAc2S3 structure.

abc: 4.176 6.002 12.832
angles: 90.00 90.00 90.00
Element x y z (fractional)
Ca 0.000 0.000 0.000
Ca 0.500 0.500 0.500
Ac 0.000 0.000 0.332
Ac 0.000 0.000 0.668
Ac 0.500 0.500 0.168
Ac 0.500 0.500 0.832
S 0.000 0.500 0.000
S 0.000 0.500 0.345
S 0.000 0.500 0.655
S 0.500 0.000 0.155
S 0.500 0.000 0.500
S 0.500 0.000 0.845

Summary:
Crystal system: orthorhombic
ΔE_f (raw): -2015 meV/atom
Density of states at the Fermi level: 4.02 states/eV per cell

10.
The following is a DFT calculation (PBE-GGA) of a geometry-optimized Zr5TcRh4 structure.

abc: 3.321 3.321 16.255
angles: 90.00 90.00 90.00
Element x y z (fractional)
Zr 0.000 0.000 0.000
Zr 0.000 0.000 0.200
Zr 0.000 0.000 0.402
Zr 0.000 0.000 0.598
Zr 0.000 0.000 0.800
Tc 0.500 0.500 0.500
Rh 0.500 0.500 0.101
Rh 0.500 0.500 0.298
Rh 0.500 0.500 0.702
Rh 0.500 0.500 0.899

Summary:
Formation energy from the elements: -0.72 eV per atom
Crystal system: tetragonal
Density of states at the Fermi level: 5.81 states/eV per cell

11.
The following is a DFT calculation (PBE-GGA) of a geometry-optimized ThPaPSe structure.

abc: 7.076 7.076 7.076
angles: 90.00 90.00 90.00
Element x y z (fractional)
Th 0.000 0.000 0.000
Th 0.000 0.500 0.500
Th 0.500 0.000 0.500
Th 0.500 0.500 0.000
Pa 0.000 0.000 0.500
Pa 0.000 0.500 0.000
Pa 0.500 0.000 0.000
Pa 0.500 0.500 0.500
P 0.250 0.250 0.750
P 0.250 0.750 0.250
P 0.750 0.250 0.250
P 0.750 0.750 0.750
Se 0.250 0.250 0.250
Se 0.250 0.750 0.750
Se 0.750 0.250 0.750
Se 0.750 0.750 0.250

Summary:
Excess energy over the best structure of this formula in the dataset: 0.891 eV/f.u.
Crystal system: cubic
ΔE_f (raw): -1119 meV/atom
Density of states at the Fermi level: 17.09 states/eV per cell

12.
The following is a DFT calculation (PBE-GGA) of a geometry-optimized Ca2FeTc structure.

abc: 4.196 4.196 4.615
angles: 90.00 90.00 90.00
Element x y z (fractional)
Ca 0.000 0.500 0.000
Ca 0.500 0.000 0.000
Fe 0.000 0.000 0.500
Tc 0.500 0.500 0.500

Summary:
Excess energy over the best structure of this formula in the dataset: 1.707 eV/f.u.
Formation energy from the elements: 0.77 eV per atom
Crystal system: tetragonal
Density of states at the Fermi level: 3.55 states/eV per cell

13.
The following is a DFT calculation (PBE-GGA) of a geometry-optimized K2BeNi structure.

abc: 5.278 3.907 6.266
angles: 90.00 114.83 90.00
Element x y z (fractional)
K 0.000 0.000 0.000
K 0.297 0.500 0.595
Be 0.616 0.500 0.232
Ni 0.678 0.000 0.356

Summary:
Formation energy from the elements: 0.51 eV per atom
Crystal system: monoclinic
Density of states at the Fermi level: 1.51 states/eV per cell

14.
The following is a DFT calculation (PBE-GGA) of a geometry-optimized LiPm2Cl8 structure.

abc: 9.061 9.061 7.808
angles: 94.58 94.58 25.79
Element x y z (fractional)
Li 0.000 0.000 0.000
Pm 0.313 0.313 0.269
Pm 0.687 0.687 0.731
Cl 0.099 0.099 0.572
Cl 0.173 0.173 0.989
Cl 0.292 0.292 0.654
Cl 0.483 0.483 0.168
Cl 0.517 0.517 0.832
Cl 0.708 0.708 0.346
Cl 0.827 0.827 0.011
Cl 0.901 0.901 0.428

Summary:
Crystal system: monoclinic
ΔE_f (raw): -1897 meV/atom

15.
The following is a DFT calculation (PBE-GGA) of a geometry-optimized HAuSeBr2 structure.

abc: 5.443 5.443 3.408
angles: 90.00 90.00 90.00
Element x y z (fractional)
H 0.000 0.000 0.000
Au 0.500 0.500 0.500
Se 0.000 0.000 0.500
Br 0.000 0.500 0.000
Br 0.500 0.000 0.000

Summary:
Excess energy over the best structure of this formula in the dataset: 0.000 eV/f.u.
Crystal system: tetragonal
Density of states at the Fermi level: 3.06 states/eV per cell

16.
The following is a DFT calculation (PBE-GGA) of a geometry-optimized Zr2Ti2As structure.

abc: 6.807 6.807 4.151
angles: 90.00 90.00 90.00
Element x y z (fractional)
Zr 0.170 0.330 0.000
Zr 0.330 0.830 0.000
Zr 0.670 0.170 0.000
Zr 0.830 0.670 0.000
Ti 0.136 0.636 0.500
Ti 0.364 0.136 0.500
Ti 0.636 0.864 0.500
Ti 0.864 0.364 0.500
As 0.000 0.000 0.500
As 0.500 0.500 0.500

Summary:
Formation energy from the elements: -0.24 eV per atom
Crystal system: tetragonal
Density of states at the Fermi level: 11.81 states/eV per cell

17.
The following is a DFT calculation (PBE-GGA) of a geometry-optimized YV2Tc structure.

abc: 4.485 4.485 17.168
angles: 90.00 90.00 90.00
Element x y z (fractional)
Y 0.000 0.250 0.375
Y 0.000 0.750 0.625
Y 0.500 0.250 0.125
Y 0.500 0.750 0.875
V 0.000 0.000 0.000
V 0.000 0.500 0.000
V 0.250 0.250 0.750
V 0.250 0.750 0.250
V 0.500 0.000 0.500
V 0.500 0.500 0.500
V 0.750 0.250 0.750
V 0.750 0.750 0.250
Tc 0.000 0.250 0.875
Tc 0.000 0.750 0.125
Tc 0.500 0.250 0.625
Tc 0.500 0.750 0.375

Summary:
Excess energy over the best structure of this formula in the dataset: 1.790 eV/f.u.
Formation energy from the elements: 0.76 eV per atom
Crystal system: tetragonal
Density of states at the Fermi level: 23.51 states/eV per cell

18.
The following is a DFT calculation (PBE-GGA) of a geometry-optimized UTlPb structure.

abc: 5.319 17.851 3.657
angles: 90.00 90.00 90.00
Element x y z (fractional)
U 0.000 0.046 0.250
U 0.000 0.954 0.750
U 0.500 0.454 0.750
U 0.500 0.546 0.250
Tl 0.000 0.230 0.250
Tl 0.000 0.770 0.750
Tl 0.500 0.270 0.750
Tl 0.500 0.730 0.250
Pb 0.000 0.416 0.250
Pb 0.000 0.584 0.750
Pb 0.500 0.084 0.750
Pb 0.500 0.916 0.250

Summary:
Formation energy from the elements: 0.23 eV per atom
Crystal system: orthorhombic
Density of states at the Fermi level: 16.50 states/eV per cell

19.
The following is a DFT calculation (PBE-GGA) of a geometry-optimized AgPt3W structure.

abc: 4.851 4.851 4.851
angles: 90.00 90.00 90.00
Element x y z (fractional)
Ag 0.000 0.000 0.000
Pt 0.000 0.500 0.500
Pt 0.500 0.000 0.500
Pt 0.500 0.500 0.000
W 0.500 0.500 0.500

Summary:
Excess energy over the best structure of this formula in the dataset: 0.000 eV/f.u.
Formation energy from the elements: 1.07 eV per atom
Crystal system: cubic
Density of states at the Fermi level: 5.17 states/eV per cell

20.
The following is a DFT calculation (PBE-GGA) of a geometry-optimized HfThSi2O8 structure.

abc: 5.790 5.790 5.790
angles: 106.44 106.44 115.72
Element x y z (fractional)
Hf 0.000 0.000 0.000
Th 0.750 0.250 0.500
Si 0.250 0.750 0.500
Si 0.500 0.500 0.000
O 0.085 0.396 0.311
O 0.085 0.775 0.689
O 0.145 0.317 0.828
O 0.225 0.915 0.311
O 0.488 0.317 0.172
O 0.604 0.915 0.689
O 0.683 0.512 0.828
O 0.683 0.855 0.172

Summary:
Crystal system: tetragonal
ΔE_f (raw): -3211 meV/atom
Density of states at the Fermi level: 0.00 states/eV per cell

21.
The following is a DFT calculation (PBE-GGA) of a geometry-optimized KZrN2O structure.

abc: 4.121 4.121 4.040
angles: 90.00 90.00 90.00
Element x y z (fractional)
K 0.000 0.000 0.000
Zr 0.500 0.500 0.500
N 0.000 0.500 0.000
N 0.500 0.000 0.000
O 0.000 0.000 0.500

Summary:
Crystal system: tetragonal
ΔE_f (raw): 1605 meV/atom
Density of states at the Fermi level: 1.77 states/eV per cell

22.
The following is a DFT calculation (PBE-GGA) of a geometry-optimized HoBe3Au10 structure.

abc: 8.771 8.771 8.771
angles: 60.00 60.00 60.00
Element x y z (fractional)
Ho 0.250 0.250 0.250
Ho 0.750 0.750 0.750
Be 0.236 0.236 0.764
Be 0.236 0.764 0.236
Be 0.236 0.764 0.764
Be 0.764 0.236 0.236
Be 0.764 0.236 0.764
Be 0.764 0.764 0.236
Au 0.114 0.114 0.114
Au 0.114 0.114 0.657
Au 0.114 0.657 0.114
Au 0.161 0.500 0.500
Au 0.161 0.500 0.839
Au 0.161 0.839 0.500
Au 0.343 0.886 0.886
Au 0.500 0.161 0.500
Au 0.500 0.161 0.839
Au 0.500 0.500 0.161
Au 0.500 0.500 0.839
Au 0.500 0.839 0.161
Au 0.500 0.839 0.500
Au 0.657 0.114 0.114
Au 0.839 0.161 0.500
Au 0.839 0.500 0.161
Au 0.839 0.500 0.500
Au 0.886 0.343 0.886
Au 0.886 0.886 0.343
Au 0.886 0.886 0.886

Summary:
Formation energy from the elements: -0.27 eV per atom
Crystal system: cubic
Density of states at the Fermi level: 10.13 states/eV per cell

23.
The following is a DFT calculation (PBE-GGA) of a geometry-optimized ZrTlB2I structure.

abc: 4.668 4.668 6.181
angles: 90.00 90.00 90.00
Element x y z (fractional)
Zr 0.000 0.000 0.000
Tl 0.000 0.000 0.500
B 0.000 0.500 0.000
B 0.500 0.000 0.000
I 0.500 0.500 0.500

Summary:
Crystal system: tetragonal
ΔE_f (raw): 1354 meV/atom
Density of states at the Fermi level: 6.79 states/eV per cell